Entry from the Alexandria database: a relaxed structure of TbNd2Tl2Zn2 (GGA-PBE).

Unit cell a=9.8773 b=9.8773 c=9.8773 alpha=27.93 beta=27.93 gamma=27.93
Atoms (fractional coordinates):
Tb 0.0000 0.0000 0.0000
Nd 0.1258 0.1258 0.1258
Nd 0.8742 0.8742 0.8742
Tl 0.2661 0.2661 0.2661
Tl 0.7339 0.7339 0.7339
Zn 0.3897 0.3897 0.3897
Zn 0.6103 0.6103 0.6103

Values from the calculation:
Energy of formation   -0.185 eV per atom
Total energy   -3.25 eV/atom